# 1
## Hf3Zr3GaBi2 (PBE)

Data for a relaxed Hf3Zr3GaBi2 crystal.

a = 7.726 Å, b = 7.726 Å, c = 3.938 Å
α = 90.00°, β = 90.00°, γ = 120.00°
Fractional positions:
1 Hf 0.000 0.390 0.000
2 Hf 0.390 0.000 0.000
3 Hf 0.610 0.610 0.000
4 Zr 0.000 0.758 0.500
5 Zr 0.242 0.242 0.500
6 Zr 0.758 0.000 0.500
7 Ga 0.000 0.000 0.000
8 Bi 0.333 0.667 0.500
9 Bi 0.667 0.333 0.500

Values from the calculation:
Total moment in μB/f.u.: 0.0
Distance to the lowest polymorph of the same formula in eV/f.u.: 0.73


# 2
## Hf3Zr3GaBi2 (PBE)

Data for a relaxed Hf3Zr3GaBi2 crystal.

a = 7.679 Å, b = 7.679 Å, c = 3.973 Å
α = 90.00°, β = 90.00°, γ = 120.00°
Fractional positions:
1 Hf 0.000 0.763 0.000
2 Hf 0.237 0.237 0.000
3 Hf 0.763 0.000 0.000
4 Zr 0.000 0.393 0.500
5 Zr 0.393 0.000 0.500
6 Zr 0.607 0.607 0.500
7 Ga 0.000 0.000 0.500
8 Bi 0.333 0.667 0.000
9 Bi 0.667 0.333 0.000

Values from the calculation:
Total moment in μB/f.u.: 0.0
Distance to the lowest polymorph of the same formula in eV/f.u.: 0.00


# 3
## GaHgBi (PBE)

Data for a relaxed GaHgBi crystal.

a = 5.080 Å, b = 5.080 Å, c = 5.080 Å
α = 60.00°, β = 60.00°, γ = 60.00°
Fractional positions:
1 Ga 0.000 0.000 0.000
2 Hg 0.500 0.500 0.500
3 Bi 0.250 0.250 0.250

Values from the calculation:
Final energy in eV/cell: -6.99


# 4
## GaBiIr (PBE)

Data for a relaxed GaBiIr crystal.

a = 4.509 Å, b = 4.509 Å, c = 4.509 Å
α = 60.00°, β = 60.00°, γ = 60.00°
Fractional positions:
1 Ga 0.000 0.000 0.000
2 Bi 0.500 0.500 0.500
3 Ir 0.750 0.750 0.750

Values from the calculation:
Total moment in μB/f.u.: 0.0
Distance to the lowest polymorph of the same formula in eV/f.u.: 0.00